GGA-PBEsol ZnRhO2F, optimized geometry; total magnetization = 3.6 μB/f.u.; uncorrected formation energy = -0.75 eV per formula unit; total energy = -22.90 eV for the cell shown
1.0
-2.474 -2.225 1.845
-1.300 -1.313 -3.326
2.646 -2.863 0.096
O Rh Zn F
2 1 1 1
direct
0.000 0.500 0.000
0.500 0.000 0.000
0.500 0.500 0.500
0.000 0.000 0.000
0.000 0.000 0.500


GGA-PBEsol AsH2Rh, optimized geometry; total magnetization = 0.0 μB/f.u.; total energy = -17.25 eV for the cell shown
1.0
3.756 0.000 0.000
1.878 3.252 0.000
1.878 1.084 3.066
Rh H As
1 2 1
direct
0.500 0.500 0.500
0.750 0.750 0.750
0.250 0.250 0.250
0.000 0.000 0.000


GGA-PBEsol InCoRe2, optimized geometry; total magnetization = 1.2 μB/f.u.; formation enthalpy at 0 K = 528 meV per atom; total energy = -35.27 eV for the cell shown
1.0
-2.504 0.413 -1.009
0.181 -3.822 -2.015
-0.791 -2.410 4.500
Re In Co
2 1 1
direct
0.698 0.000 0.764
0.302 0.000 0.236
0.000 0.500 0.500
0.500 0.500 0.000


GGA-PBEsol CuSiGeI2, optimized geometry; total magnetization = 0.0 μB/f.u.; uncorrected formation energy = 4.68 eV per formula unit; total energy = -13.87 eV for the cell shown
1.0
-0.336 -2.893 -3.784
5.467 0.539 -0.897
0.971 -4.395 3.274
Cu I Ge Si
1 2 1 1
direct
0.500 0.500 0.500
0.000 0.000 0.500
0.000 0.500 0.000
0.000 0.000 0.000
0.500 0.000 0.000


GGA-PBEsol BaLi3Zn, optimized geometry; total magnetization = 0.0 μB/f.u.; formation enthalpy at 0 K = 43 meV per atom; total energy = -9.41 eV for the cell shown
1.0
-1.181 1.583 -4.722
-3.481 -3.734 -0.381
-3.562 3.123 1.938
Ba Zn Li
1 1 3
direct
0.500 0.500 0.500
0.000 0.000 0.000
0.000 0.000 0.500
0.500 0.000 0.000
0.000 0.500 0.000


GGA-PBEsol Li6MnO4F, optimized geometry; total magnetization = 4.0 μB/f.u.; uncorrected formation energy = -23.38 eV per formula unit; total energy = -135.74 eV for the cell shown
1.0
-2.632 1.043 3.940
3.796 -3.496 0.684
5.961 6.893 2.156
O Li Mn F
8 12 2 2
direct
0.273 0.977 0.249
0.145 0.731 0.611
0.727 0.023 0.749
0.955 0.283 0.398
0.855 0.269 0.111
0.654 0.717 0.388
0.346 0.283 0.888
0.045 0.717 0.898
0.700 0.634 0.754
0.876 0.011 0.941
0.796 0.503 0.500
0.204 0.497 0.000
0.300 0.366 0.254
0.073 0.396 0.751
0.328 0.001 0.049
0.295 0.534 0.494
0.705 0.466 0.994
0.124 0.989 0.441
0.927 0.604 0.251
0.672 0.999 0.549
0.306 0.984 0.764
0.694 0.016 0.264
0.559 0.678 0.102
0.441 0.322 0.602


GGA-PBEsol HgPW, optimized geometry; total magnetization = 0.0 μB/f.u.; formation enthalpy at 0 K = 433 meV per atom; total energy = -18.87 eV for the cell shown
1.0
-2.704 -0.504 -0.601
1.604 -2.262 -0.488
-0.589 -0.952 7.622
P Hg W
1 1 1
direct
0.698 0.698 0.397
0.986 0.986 0.971
0.316 0.316 0.632


GGA-PBEsol SrYTc, optimized geometry; total magnetization = 0.0 μB/f.u.; excess energy over the best structure of this formula in the dataset = 342.7 meV/atom; formation enthalpy at 0 K = 773 meV per atom; total energy = -17.61 eV for the cell shown
1.0
-2.415 -4.161 0.744
1.414 -4.073 -2.261
2.075 -3.598 2.539
Tc Sr Y
1 1 1
direct
0.250 0.250 0.250
0.500 0.500 0.500
0.000 0.000 0.000


GGA-PBEsol CaS2F, optimized geometry; total magnetization = 0.2 μB/f.u.; uncorrected formation energy = -3.48 eV per formula unit; total energy = -16.31 eV for the cell shown
1.0
-2.368 3.594 0.901
-3.715 0.797 -2.212
-5.250 -1.729 3.825
F Ca S
1 1 2
direct
0.000 0.000 0.000
0.500 0.500 0.500
0.894 0.894 0.317
0.106 0.106 0.683


GGA-PBEsol CaB2H14N2, optimized geometry; total magnetization = 0.0 μB/f.u.; total energy = -347.22 eV for the cell shown
1.0
-2.758 3.038 4.846
4.133 -4.525 5.189
8.833 8.048 -0.018
H N B Ca
56 8 8 4
direct
0.792 0.159 0.477
0.266 0.468 0.249
0.229 0.149 0.549
0.729 0.351 0.451
0.734 0.468 0.251
0.292 0.341 0.523
0.826 0.671 0.166
0.771 0.149 0.951
0.390 0.801 0.616
0.610 0.199 0.384
0.674 0.829 0.666
0.771 0.851 0.451
0.234 0.968 0.249
0.106 0.017 0.398
0.411 0.948 0.391
0.174 0.329 0.834
0.394 0.483 0.898
0.674 0.171 0.166
0.826 0.329 0.666
0.894 0.017 0.102
0.766 0.032 0.751
0.729 0.649 0.951
0.734 0.532 0.751
0.106 0.983 0.898
0.610 0.801 0.884
0.766 0.968 0.251
0.911 0.448 0.109
0.390 0.199 0.116
0.271 0.351 0.049
0.326 0.829 0.834
0.708 0.659 0.477
0.234 0.032 0.749
0.589 0.052 0.609
0.110 0.699 0.116
0.606 0.483 0.602
0.208 0.159 0.023
0.089 0.448 0.391
0.174 0.671 0.334
0.890 0.301 0.884
0.911 0.552 0.609
0.708 0.341 0.977
0.589 0.948 0.109
0.208 0.841 0.523
0.229 0.851 0.049
0.110 0.301 0.616
0.792 0.841 0.977
0.894 0.983 0.602
0.271 0.649 0.549
0.890 0.699 0.384
0.606 0.517 0.102
0.089 0.552 0.891
0.292 0.659 0.023
0.266 0.532 0.749
0.394 0.517 0.398
0.326 0.171 0.334
0.411 0.052 0.891
0.255 0.262 0.588
0.755 0.762 0.912
0.255 0.738 0.088
0.745 0.262 0.912
0.245 0.238 0.088
0.745 0.738 0.412
0.245 0.762 0.588
0.755 0.238 0.412
0.229 0.476 0.843
0.729 0.024 0.157
0.271 0.976 0.843
0.771 0.524 0.157
0.229 0.524 0.343
0.271 0.024 0.343
0.729 0.976 0.657
0.771 0.476 0.657
0.000 0.758 0.750
0.500 0.742 0.250
0.500 0.258 0.750
0.000 0.242 0.250


GGA-PBEsol Ca2MgW, optimized geometry; total magnetization = 0.0 μB/f.u.; formation enthalpy at 0 K = 612 meV per atom; total energy = -17.34 eV for the cell shown
1.0
-2.302 0.460 1.857
1.653 -1.166 2.206
3.728 9.547 2.256
Mg Ca W
1 2 1
direct
0.500 0.500 0.500
0.000 0.000 0.774
0.000 0.000 0.226
0.500 0.500 0.000


GGA-PBEsol Ca2YW, optimized geometry; total magnetization = 0.0 μB/f.u.; excess energy over the best structure of this formula in the dataset = 146.2 meV/atom; formation enthalpy at 0 K = 765 meV per atom; total energy = -21.84 eV for the cell shown
1.0
3.076 0.015 0.000
-0.462 3.041 0.000
0.000 0.000 10.949
Y Ca W
1 2 1
direct
0.500 0.500 0.000
0.000 0.000 0.712
0.000 0.000 0.288
0.500 0.500 0.500


GGA-PBEsol Sr4CeMn5O15, optimized geometry; total magnetization = 17.1 μB/f.u.; uncorrected formation energy = -55.96 eV per formula unit; total energy = -197.46 eV for the cell shown
1.0
-4.190 2.270 2.296
-3.921 -2.106 -5.076
2.230 -7.272 5.165
Mn O Sr Ce
5 15 4 1
direct
0.000 0.500 0.000
0.203 0.301 0.405
0.797 0.699 0.595
0.404 0.738 0.808
0.596 0.262 0.192
0.312 0.409 0.120
0.808 0.409 0.120
0.617 0.871 0.728
0.500 0.500 0.500
0.724 0.830 0.448
0.192 0.591 0.880
0.111 0.871 0.728
0.928 0.230 0.855
0.072 0.770 0.145
0.500 0.000 0.000
0.000 0.500 0.500
0.383 0.129 0.272
0.889 0.129 0.272
0.276 0.170 0.552
0.688 0.591 0.880
0.419 0.249 0.839
0.581 0.751 0.161
0.218 0.787 0.435
0.782 0.213 0.565
0.000 0.000 0.000


GGA-PBEsol RbSrGe2W, optimized geometry; total magnetization = 3.1 μB/f.u.; formation enthalpy at 0 K = 2076 meV per atom; total energy = -16.17 eV for the cell shown
1.0
-0.209 1.146 -5.064
-5.477 -0.088 0.207
-0.040 5.346 1.212
Ge Rb Sr W
2 1 1 1
direct
0.000 0.500 0.000
0.000 0.000 0.500
0.000 0.000 0.000
0.500 0.500 0.500
0.500 0.000 0.000


GGA-PBEsol Al2ZnHg2, optimized geometry; total magnetization = 0.0 μB/f.u.; formation enthalpy at 0 K = 281 meV per atom; total energy = -9.49 eV for the cell shown
1.0
-3.284 2.114 1.336
-2.407 -2.072 -2.637
1.829 -4.324 4.959
Zn Al Hg
1 2 2
direct
0.000 0.000 0.000
0.399 0.399 0.797
0.601 0.601 0.203
0.250 0.750 0.500
0.750 0.250 0.500


GGA-PBEsol CrIrPb2, optimized geometry; total magnetization = 3.8 μB/f.u.; excess energy over the best structure of this formula in the dataset = 308.5 meV/atom; formation enthalpy at 0 K = 621 meV per atom; total energy = -25.58 eV for the cell shown
1.0
3.336 0.000 0.000
-1.668 4.394 -0.002
0.000 -1.140 5.428
Ir Pb Cr
1 2 1
direct
0.500 0.000 0.000
0.244 0.488 0.241
0.756 0.512 0.759
0.000 0.000 0.500


GGA-PBEsol YBeTc2Au, optimized geometry; total magnetization = 2.6 μB/f.u.; formation enthalpy at 0 K = 1158 meV per atom; total energy = -31.49 eV for the cell shown
1.0
-1.751 -2.994 2.203
1.758 -3.348 -3.152
4.092 -0.401 2.708
Tc Be Y Au
2 1 1 1
direct
0.000 0.500 0.000
0.000 0.000 0.500
0.500 0.000 0.000
0.500 0.500 0.500
0.000 0.000 0.000


GGA-PBEsol BeGaC2, optimized geometry; total magnetization = 0.0 μB/f.u.; formation enthalpy at 0 K = 1811 meV per atom; total energy = -19.38 eV for the cell shown
1.0
-2.985 2.039 0.791
-2.947 -0.088 -2.236
-3.121 -1.644 1.117
Be C Ga
1 2 1
direct
0.000 0.000 0.000
0.250 0.250 0.250
0.750 0.750 0.750
0.500 0.500 0.500


GGA-PBEsol SbAu2, optimized geometry; total magnetization = 0.0 μB/f.u.; uncorrected formation energy = 0.27 eV per formula unit; total energy = -12.13 eV for the cell shown
1.0
-2.749 -0.586 -3.592
1.620 -1.872 -3.830
-1.303 -4.199 -1.214
Au Sb
2 1
direct
0.750 0.750 0.750
0.250 0.250 0.250
0.000 0.000 0.000


GGA-PBEsol Ba2CrOs, optimized geometry; total magnetization = 0.0 μB/f.u.; excess energy over the best structure of this formula in the dataset = 0.0 meV/atom; formation enthalpy at 0 K = 441 meV per atom; total energy = -24.99 eV for the cell shown
1.0
4.041 0.000 0.000
2.021 3.500 0.000
2.021 1.167 9.031
Ba Cr Os
2 1 1
direct
0.964 0.964 0.108
0.786 0.786 0.643
0.538 0.538 0.385
0.212 0.212 0.363